Record 1
## CsHf3Tc (PBE)

Data for a geometry-optimized CsHf3Tc structure.

Computed properties:
E (eV per atom): -7.455
Space group: Pm-3m (221)

Cell and atoms, written as POSCAR:
```
CsHf3Tc
1.0
-1.865 -4.620 1.463
3.513 -0.209 3.818
-3.338 2.361 3.201
Cs Hf Tc
1 3 1
Direct
0.500 0.500 0.500 Cs
0.000 0.500 0.000 Hf
0.000 0.000 0.500 Hf
0.500 0.000 0.000 Hf
0.000 0.000 0.000 Tc
```

=====

Record 2
## CsHfTc3 (PBE)

Data for a geometry-optimized CsHfTc3 structure.

Computed properties:
Space group: Pm-3m (221)
Energy above the lowest structure with this stoichiometry (meV/atom): 868.7

Cell and atoms, written as POSCAR:
```
CsHfTc3
1.0
-0.007 -2.282 4.239
1.649 -3.984 -2.142
4.523 1.449 0.787
Cs Hf Tc
1 1 3
Direct
0.000 0.000 0.000 Cs
0.500 0.500 0.500 Hf
0.000 0.500 0.000 Tc
0.000 0.000 0.500 Tc
0.500 0.000 0.000 Tc
```

=====

Record 3
## CsHf2Tc (PBE)

Data for a geometry-optimized CsHf2Tc structure.

Computed properties:
Space group: Fm-3m (225)
Energy above the lowest structure with this stoichiometry (meV/atom): 0.0

Cell and atoms, written as POSCAR:
```
CsHf2Tc
1.0
0.000 3.535 3.535
3.535 0.000 3.535
3.535 3.535 0.000
Cs Hf Tc
1 2 1
Direct
0.500 0.500 0.500 Cs
0.250 0.250 0.250 Hf
0.750 0.750 0.750 Hf
0.000 0.000 0.000 Tc
```

=====

Record 4
## CsHf2Tc (PBE)

Data for a geometry-optimized CsHf2Tc structure.

Computed properties:
Space group: I4_1/amd (141)
Energy above the lowest structure with this stoichiometry (meV/atom): 16.1

Cell and atoms, written as POSCAR:
```
CsHf2Tc
1.0
-1.276 -3.398 -6.403
6.714 1.896 -2.345
5.050 -6.082 -2.009
Cs Hf Tc
2 4 2
Direct
0.000 0.000 0.000 Cs
0.750 0.250 0.500 Cs
0.375 0.125 0.250 Hf
0.375 0.625 0.250 Hf
0.375 0.625 0.750 Hf
0.875 0.625 0.750 Hf
0.500 0.500 0.000 Tc
0.250 0.750 0.500 Tc
```

=====

Record 5
## Cs2HfTlTc (PBE)

Data for a geometry-optimized Cs2HfTlTc structure.

Computed properties:
E (eV per atom): -3.124
Space group: P4/mmm (123)

Cell and atoms, written as POSCAR:
```
Cs2HfTlTc
1.0
5.814 0.000 0.000
0.000 5.504 0.000
0.000 0.000 5.814
Cs Tl Hf Tc
2 1 1 1
Direct
0.000 0.000 0.500 Cs
0.500 0.000 0.000 Cs
0.000 0.500 0.000 Tl
0.500 0.500 0.500 Hf
0.000 0.000 0.000 Tc
```

=====

Record 6
## CsHf2TcW (PBE)

Data for a geometry-optimized CsHf2TcW structure.

Computed properties:
E (eV per atom): -7.478
Space group: P4/mmm (123)

Cell and atoms, written as POSCAR:
```
CsHf2TcW
1.0
5.274 0.000 0.000
0.000 4.901 0.000
0.000 0.000 5.274
Cs Hf Tc W
1 2 1 1
Direct
0.500 0.500 0.500 Cs
0.000 0.000 0.500 Hf
0.500 0.000 0.000 Hf
0.000 0.500 0.000 Tc
0.000 0.000 0.000 W
```